## Gd2NiP2Pd (PBE)

Data for crystalline Gd2NiP2Pd at its relaxed geometry.

Cell lengths 4.054, 4.054, 7.724 Å; angles 90.00, 90.00, 120.00 degrees
Fractional positions:
Gd: 0.000 0.000 0.242
Gd: 0.000 0.000 0.758
Ni: 0.667 0.333 0.000
P: 0.333 0.667 0.000
P: 0.667 0.333 0.500
Pd: 0.333 0.667 0.500

Properties
space group = P-6m2
ρ = 8.2 g cm⁻³
final energy = -6.357 eV per atom

---

## Lu2Hf (PBE)

Data for crystalline Lu2Hf at its relaxed geometry.

Cell lengths 6.117, 6.117, 6.117 Å; angles 60.00, 60.00, 60.00 degrees
Fractional positions:
Lu: 0.000 0.000 0.000
Lu: 0.000 0.000 0.500
Lu: 0.000 0.500 0.000
Lu: 0.500 0.000 0.000
Hf: 0.375 0.375 0.375
Hf: 0.625 0.625 0.625

Properties
relative energy among the computed polymorphs = 0 kJ/mol of formula units
space group = Fd-3m
ρ = 10.8 g cm⁻³
final energy = -5.767 eV per atom

---

## PaB (PBE)

Data for crystalline PaB at its relaxed geometry.

Cell lengths 3.706, 3.706, 3.706 Å; angles 59.57, 59.57, 59.57 degrees
Fractional positions:
Pa: 0.000 0.000 0.000
B: 0.500 0.500 0.500

Properties
relative energy among the computed polymorphs = 0 kJ/mol of formula units
space group = R-3m
ρ = 11.3 g cm⁻³
final energy = -8.083 eV per atom

---

- Which of these has the lowest ρ?
  Gd2NiP2Pd

---

- The highest final energy belongs to which entry?
  Lu2Hf

---

Repeat the third record exactly.
## PaB (PBE)

Data for crystalline PaB at its relaxed geometry.

Cell lengths 3.706, 3.706, 3.706 Å; angles 59.57, 59.57, 59.57 degrees
Fractional positions:
Pa: 0.000 0.000 0.000
B: 0.500 0.500 0.500

Properties
relative energy among the computed polymorphs = 0 kJ/mol of formula units
space group = R-3m
ρ = 11.3 g cm⁻³
final energy = -8.083 eV per atom

---

- Number 3 is which compound?
  PaB